1.
# P4H

A relaxed structure of P4H (PBE, the Alexandria database).

Output
DOS(E_F) ... 0.881 states/eV per atom
VASP energy ... -4.010 eV/atom
Magnetic moment ... 0.00 μB per cell

a b c (Å): 3.9671 3.9671 3.9671
angles (deg): 90.00 90.00 90.00
Space group Pm-3m (No. 221)
Unique sites:
P 0.0000 0.0000 0.0000 x1
P 0.0000 0.5000 0.5000 x3
H 0.5000 0.5000 0.5000 x1

2.
# P2H

A relaxed structure of P2H (PBE, the Alexandria database).

Output
Relative energy among the computed polymorphs ... 0.120 eV/atom
DOS(E_F) ... 0.043 states/eV per atom
VASP energy ... -4.598 eV/atom
Magnetic moment ... 0.00 μB per cell

a b c (Å): 5.2545 3.2221 7.1097
angles (deg): 90.00 111.22 90.00
Space group P2_1/m (No. 11)
Unique sites:
P 0.1208 0.2500 0.2730 x2
P 0.3383 0.7500 0.1918 x2
H 0.1522 0.7500 0.9426 x2

3.
# P2H

A relaxed structure of P2H (PBE, the Alexandria database).

Output
Relative energy among the computed polymorphs ... 0.121 eV/atom
DOS(E_F) ... 0.094 states/eV per atom
VASP energy ... -4.598 eV/atom
Magnetic moment ... 0.00 μB per cell

a b c (Å): 3.2617 4.1548 7.9169
angles (deg): 102.79 90.31 90.00
Space group P-1 (No. 2)
Unique sites:
P 0.2495 0.3346 0.4591 x2
P 0.2499 0.3157 0.9950 x2
H 0.2470 0.2160 0.8097 x2

4.
# P2H

A relaxed structure of P2H (PBE, the Alexandria database).

Output
Relative energy among the computed polymorphs ... 0.004 eV/atom
DOS(E_F) ... 0.000 states/eV per atom
VASP energy ... -4.714 eV/atom
Magnetic moment ... 0.00 μB per cell

a b c (Å): 12.4527 3.2943 5.6249
angles (deg): 90.00 94.84 90.00
Space group Cm (No. 8)
Unique sites:
P 0.0000 0.0000 0.0000 x2
P 0.0257 0.0000 0.4001 x2
P 0.1453 0.5000 0.4564 x2
P 0.3763 0.0000 0.9847 x2
H 0.1851 0.5000 0.2240 x2
H 0.3654 0.0000 0.7285 x2

5.
# P2H

A relaxed structure of P2H (PBE, the Alexandria database).

Output
Relative energy among the computed polymorphs ... 0.033 eV/atom
DOS(E_F) ... 0.000 states/eV per atom
VASP energy ... -4.686 eV/atom
Magnetic moment ... 0.00 μB per cell

a b c (Å): 5.3034 3.2701 7.1247
angles (deg): 90.00 107.81 90.00
Space group Pm (No. 6)
Unique sites:
P 0.0000 0.0000 0.0000 x1
P 0.0090 0.5000 0.4662 x1
P 0.1828 0.0000 0.3386 x1
P 0.7088 0.5000 0.9100 x1
H 0.5934 0.5000 0.0687 x1
H 0.7394 0.5000 0.3386 x1

6.
# P2H

A relaxed structure of P2H (PBE, the Alexandria database).

Output
Relative energy among the computed polymorphs ... 0.130 eV/atom
VASP energy ... -4.589 eV/atom
Magnetic moment ... 0.00 μB per cell

a b c (Å): 4.6393 4.7290 5.3018
angles (deg): 85.03 74.21 70.44
Space group P1 (No. 1)
Unique sites:
P 0.0000 0.0000 0.0000 x1
P 0.1563 0.3240 0.1875 x1
P 0.5885 0.3450 0.8832 x1
P 0.8320 0.7523 0.3434 x1
H 0.2568 0.1372 0.3953 x1
H 0.6110 0.5859 0.0221 x1

7.
# P2H

A relaxed structure of P2H (PBE, the Alexandria database).

Output
Relative energy among the computed polymorphs ... 0.077 eV/atom
DOS(E_F) ... 0.000 states/eV per atom
VASP energy ... -4.642 eV/atom
Magnetic moment ... 0.00 μB per cell

a b c (Å): 12.9645 3.2782 5.1499
angles (deg): 90.00 90.80 90.00
Space group Cm (No. 8)
Unique sites:
P 0.0000 0.0000 0.0000 x2
P 0.0475 0.5000 0.2694 x2
P 0.2546 0.0000 0.8563 x2
P 0.3297 0.5000 0.0539 x2
H 0.3141 0.5000 0.3294 x2
H 0.4584 0.0000 0.4331 x2

8.
# P2H

A relaxed structure of P2H (PBE, the Alexandria database).

Output
Relative energy among the computed polymorphs ... 0.011 eV/atom
VASP energy ... -4.708 eV/atom
Magnetic moment ... 0.00 μB per cell

a b c (Å): 11.0052 3.2911 8.0754
angles (deg): 90.00 122.73 90.00
Space group C2/m (No. 12)
Unique sites:
P 0.1168 0.0000 0.0467 x4
P 0.1771 0.5000 0.2687 x4
H 0.1754 0.0000 0.6772 x4

9.
# PaPH

A relaxed structure of PaPH (PBE, the Alexandria database).

Output
Relative energy among the computed polymorphs ... 0.454 eV/atom
DOS(E_F) ... 0.822 states/eV per atom
VASP energy ... -6.545 eV/atom
Magnetic moment ... 1.08 μB per cell

a b c (Å): 3.5743 3.5743 7.6529
angles (deg): 90.00 90.00 90.00
Space group I4mm (No. 107)
Unique sites:
Pa 0.0000 0.0000 0.0000 x2
P 0.0000 0.0000 0.6450 x2
H 0.0000 0.0000 0.3178 x2

10.
# PaP2H

A relaxed structure of PaP2H (PBE, the Alexandria database).

Output
VASP energy ... -6.263 eV/atom
Magnetic moment ... 0.00 μB per cell

a b c (Å): 4.1952 4.1952 18.1184
angles (deg): 90.00 90.00 120.00
Space group R-3m (No. 166, hexagonal axes)
Unique sites:
Pa 0.0000 0.0000 0.0000 x3
P 0.0000 0.0000 0.4067 x6
H 0.0000 0.0000 0.5000 x3

11.
# Pa3P2H

A relaxed structure of Pa3P2H (PBE, the Alexandria database).

Output
DOS(E_F) ... 1.432 states/eV per atom
VASP energy ... -7.874 eV/atom
Magnetic moment ... 0.01 μB per cell

a b c (Å): 12.2147 5.5476 7.3666
angles (deg): 90.00 107.58 90.00
Space group C2/c (No. 15)
Unique sites:
Pa 0.0000 0.0021 0.2500 x4
Pa 0.1498 0.4993 0.0746 x8
P 0.1775 0.0009 0.5888 x8
H 0.0000 0.4500 0.2500 x4

12.
# Pa2PH

A relaxed structure of Pa2PH (PBE, the Alexandria database).

Output
Relative energy among the computed polymorphs ... 0.000 eV/atom
DOS(E_F) ... 1.324 states/eV per atom
VASP energy ... -7.528 eV/atom
Magnetic moment ... 0.00 μB per cell

a b c (Å): 3.5398 3.5398 20.1951
angles (deg): 90.00 90.00 120.00
Space group R-3m (No. 166, hexagonal axes)
Unique sites:
Pa 0.0000 0.0000 0.2421 x6
P 0.0000 0.0000 0.0000 x3
H 0.0000 0.0000 0.5000 x3

Question: The lowest VASP energy belongs to which entry?
Answer: Pa3P2H

Question: What is the formula in the tenth record?
Answer: PaP2H